1.
{"formula": "K3Na2Cd", "functional": "PBE", "state": "optimized geometry", "lattice_angstrom": [[6.9476, 0.0000, -1.9457], [-0.5985, 7.2628, -2.1369], [-0.4021, -0.4903, 11.9408]], "species": ["K", "Na", "Na", "K", "K", "Na", "K", "K", "K", "Cd", "Na", "Cd"], "fractional_positions": [[0.1875, 0.8603, 0.3750], [0.8821, 0.7461, 0.7643], [0.3821, 0.0182, 0.7643], [0.7500, 0.5000, 0.0000], [0.6875, 0.5148, 0.3750], [0.6179, 0.9818, 0.2357], [0.3125, 0.4852, 0.6250], [0.2500, 0.5000, 0.0000], [0.8125, 0.1397, 0.6250], [0.2500, 0.0000, 0.0000], [0.1179, 0.2539, 0.2357], [0.7500, 0.0000, 0.0000]], "dft_energy_ev_per_cell": -13.3, "dos_ef_per_ev_atom": 0.538, "e_form_mev_per_atom": 33}

2.
{"formula": "TmAlRhO4", "functional": "PBE", "state": "optimized geometry", "lattice_angstrom": [[5.1823, 0.1080, 0.0000], [-1.9827, 4.7892, 0.0000], [0.0000, 0.0000, 6.9770]], "species": ["O", "Al", "O", "Al", "O", "O", "O", "O", "Tm", "O", "Rh", "Rh", "Tm", "O"], "fractional_positions": [[0.7587, 0.2413, 0.5374], [0.1301, 0.8699, 0.2500], [0.2409, 0.2613, 0.7500], [0.8699, 0.1301, 0.7500], [0.2413, 0.7587, 0.4626], [0.7587, 0.2413, 0.9626], [0.2613, 0.2409, 0.2500], [0.7387, 0.7591, 0.7500], [0.5000, 0.5000, 0.0000], [0.7591, 0.7387, 0.2500], [0.2138, 0.7862, 0.7500], [0.7862, 0.2138, 0.2500], [0.5000, 0.5000, 0.5000], [0.2413, 0.7587, 0.0374]], "dft_energy_ev_per_cell": -102.1, "formation_energy_uncorrected_kcal_per_mol_atoms": -51.51, "dos_ef_per_ev_atom": 0.326}

3.
{"formula": "Sm8ZnOs2", "functional": "PBE", "state": "optimized geometry", "lattice_angstrom": [[-4.2629, -3.1431, -2.0229], [5.2414, -5.8373, 1.0171], [-3.3997, 2.1538, 6.8105]], "species": ["Os", "Zn", "Sm", "Sm", "Sm", "Sm", "Sm", "Sm", "Os", "Sm", "Sm"], "fractional_positions": [[0.4988, 0.6916, 0.3147], [0.0059, 0.0015, 0.0015], [0.9997, 0.2470, 0.7603], [0.4136, 0.6754, 0.9378], [0.2012, 0.3803, 0.3803], [0.5858, 0.3320, 0.0691], [0.4136, 0.9378, 0.6754], [0.5858, 0.0691, 0.3320], [0.4988, 0.3147, 0.6916], [0.9997, 0.7603, 0.2470], [0.7969, 0.6242, 0.6242]], "dft_energy_ev_per_cell": -62.1, "dos_ef_per_ev_atom": 1.164, "e_form_mev_per_atom": -57}

4.
{"formula": "MnRh2Br", "functional": "PBE", "state": "optimized geometry", "lattice_angstrom": [[-1.1423, 2.1604, 3.7535], [-3.6579, 0.8592, 2.4378], [0.2056, -3.7701, 3.3354]], "species": ["Rh", "Br", "Mn", "Rh"], "fractional_positions": [[0.9881, 0.9881, 0.0324], [0.7500, 0.7500, 0.7500], [0.2500, 0.2500, 0.2500], [0.5119, 0.5119, 0.4676]], "dft_energy_ev_per_cell": -24.3, "formation_energy_uncorrected_kcal_per_mol_atoms": 7.35, "dos_ef_per_ev_atom": 1.107}

5.
{"formula": "SrThCd2", "functional": "PBE", "state": "optimized geometry", "lattice_angstrom": [[-0.7876, -3.3443, 1.7412], [-1.4023, -1.3914, -3.3066], [7.4983, -2.8066, -1.9990]], "species": ["Sr", "Cd", "Cd", "Th"], "fractional_positions": [[0.5000, 0.5000, 0.5000], [0.0000, 0.0000, 0.7662], [0.0000, 0.0000, 0.2338], [0.5000, 0.5000, 0.0000]], "dft_energy_ev_per_cell": -11.6, "dos_ef_per_ev_atom": 0.678, "e_form_mev_per_atom": -173}

6.
{"formula": "Al2ZnPb", "functional": "PBE", "state": "optimized geometry", "lattice_angstrom": [[-0.6798, 4.6685, 2.2556], [-1.2836, -3.6916, 3.4741], [3.0877, -0.0671, 1.0695]], "species": ["Al", "Zn", "Al", "Pb"], "fractional_positions": [[0.5000, 0.5000, 0.0000], [0.0000, 0.5000, 0.5000], [0.0000, 0.0000, 0.0000], [0.5000, 0.0000, 0.5000]], "dft_energy_ev_per_cell": -11.4, "dos_ef_per_ev_atom": 0.360, "e_form_mev_per_atom": 278}

7.
{"formula": "TiInSn2", "functional": "PBE", "state": "optimized geometry", "lattice_angstrom": [[3.8291, 0.0000, 0.0000], [0.0000, 3.8291, 0.0000], [0.0000, 0.0000, 6.1957]], "species": ["Sn", "Ti", "Sn", "In"], "fractional_positions": [[0.0000, 0.0000, 0.2330], [0.5000, 0.5000, 0.0000], [0.0000, 0.0000, 0.7670], [0.5000, 0.5000, 0.5000]], "dft_energy_ev_per_cell": -18.8, "dos_ef_per_ev_atom": 0.758, "e_form_mev_per_atom": -40}

8.
{"formula": "MgAu", "functional": "PBE", "state": "optimized geometry", "lattice_angstrom": [[3.8982, 0.0000, 0.0000], [1.9491, 3.3759, 0.0000], [1.9491, 1.1253, 3.1828]], "species": ["Mg", "Au"], "fractional_positions": [[0.5000, 0.5000, 0.5000], [0.0000, 0.0000, 0.0000]], "dft_energy_ev_per_cell": -5.6, "dos_ef_per_ev_atom": 0.378, "e_form_mev_per_atom": -370}

9.
{"formula": "Te3W", "functional": "PBE", "state": "optimized geometry", "lattice_angstrom": [[5.2050, 0.0001, 0.0001], [-1.7358, 4.9071, 0.0001], [-1.7358, -2.4553, 4.2486]], "species": ["Te", "Te", "Te", "W"], "fractional_positions": [[0.5000, 0.0000, 0.5000], [0.0000, 0.0000, 0.0000], [0.5000, 0.5000, 0.0000], [0.0000, 0.5000, 0.5000]], "dft_energy_ev_per_cell": -18.8, "formation_energy_uncorrected_kcal_per_mol_atoms": 20.60, "dos_ef_per_ev_atom": 1.107}

10.
{"formula": "P3Pb5", "functional": "PBE", "state": "optimized geometry", "lattice_angstrom": [[8.8458, 0.1173, 0.0000], [-6.4338, 6.1147, 0.0000], [-1.2060, -3.1160, 7.9408]], "species": ["P", "Pb", "P", "Pb", "Pb", "Pb", "Pb", "Pb", "P", "Pb", "Pb", "Pb", "P", "Pb", "P", "P"], "fractional_positions": [[0.7647, 0.7669, 0.9996], [0.1886, 0.6892, 0.5000], [0.7685, 0.2688, 0.1855], [0.6852, 0.1839, 0.5000], [0.7487, 0.6293, 0.2895], [0.2543, 0.9627, 0.1204], [0.6340, 0.3423, 0.8796], [0.9593, 0.8399, 0.7105], [0.2830, 0.1019, 0.5000], [0.4572, 0.7499, 0.1206], [0.8366, 0.1293, 0.8794], [0.1265, 0.2469, 0.2900], [0.6019, 0.7815, 0.5000], [0.3366, 0.4569, 0.7100], [0.0830, 0.5833, 0.8145], [0.2652, 0.2673, 0.0004]], "dft_energy_ev_per_cell": -66.3, "dos_ef_per_ev_atom": 0.403, "e_form_mev_per_atom": 200}

11.
{"formula": "LaPm2Cu", "functional": "PBE", "state": "optimized geometry", "lattice_angstrom": [[-0.2402, -2.8625, -2.1194], [-1.2887, -3.0703, 1.2866], [-10.8005, 1.0928, -3.2582]], "species": ["Cu", "Pm", "Pm", "La"], "fractional_positions": [[0.5000, 0.5000, 0.5000], [0.1047, 0.1047, 0.6858], [0.8953, 0.8953, 0.3142], [0.0000, 0.0000, 0.0000]], "dft_energy_ev_per_cell": -17.7, "dos_ef_per_ev_atom": 1.664, "e_form_mev_per_atom": 196}

12.
{"formula": "DyTmZnPd", "functional": "PBE", "state": "optimized geometry", "lattice_angstrom": [[3.5293, 0.0000, 0.0000], [0.0000, 3.5293, 0.0000], [0.0000, 0.0000, 6.9446]], "species": ["Dy", "Pd", "Tm", "Zn"], "fractional_positions": [[0.0000, 0.0000, 0.8605], [0.5000, 0.5000, 0.1143], [0.0000, 0.0000, 0.3521], [0.5000, 0.5000, 0.6010]], "dft_energy_ev_per_cell": -18.1, "dos_ef_per_ev_atom": 0.727, "e_form_mev_per_atom": -647}

13.
{"formula": "Tl3FePt12", "functional": "PBE", "state": "optimized geometry", "lattice_angstrom": [[4.0578, 0.0000, 0.0000], [0.0000, 4.0578, 0.0000], [0.0000, 0.0000, 16.2016]], "species": ["Pt", "Pt", "Pt", "Pt", "Pt", "Pt", "Pt", "Pt", "Pt", "Pt", "Tl", "Tl", "Pt", "Fe", "Tl", "Pt"], "fractional_positions": [[0.5000, 0.5000, 0.7568], [0.0000, 0.5000, 0.6279], [0.0000, 0.5000, 0.3721], [0.5000, 0.5000, 0.0000], [0.5000, 0.0000, 0.1133], [0.0000, 0.5000, 0.8867], [0.5000, 0.0000, 0.6279], [0.5000, 0.0000, 0.3721], [0.5000, 0.5000, 0.2432], [0.5000, 0.0000, 0.8867], [0.0000, 0.0000, 0.7557], [0.0000, 0.0000, 0.2443], [0.5000, 0.5000, 0.5000], [0.0000, 0.0000, 0.0000], [0.0000, 0.0000, 0.5000], [0.0000, 0.5000, 0.1133]], "dft_energy_ev_per_cell": -89.3, "dos_ef_per_ev_atom": 0.959, "e_form_mev_per_atom": -79}

14.
{"formula": "Sr4MgGa2", "functional": "PBE", "state": "optimized geometry", "lattice_angstrom": [[-4.9800, 2.1579, -1.3870], [-4.6719, -2.9779, 0.8287], [-4.0002, 3.2725, 8.1415]], "species": ["Sr", "Sr", "Sr", "Ga", "Ga", "Mg", "Sr"], "fractional_positions": [[0.3797, 0.3797, 0.8610], [0.8720, 0.8720, 0.3840], [0.6203, 0.6203, 0.1390], [0.2551, 0.2551, 0.2348], [0.7449, 0.7449, 0.7652], [0.0000, 0.0000, 0.0000], [0.1280, 0.1280, 0.6160]], "dft_energy_ev_per_cell": -15.8, "dos_ef_per_ev_atom": 1.171, "e_form_mev_per_atom": -207}

15.
{"formula": "VAuBr2", "functional": "PBE", "state": "optimized geometry", "lattice_angstrom": [[0.4001, -3.7103, -3.2605], [-0.1479, -4.6998, 1.5642], [-3.9355, -2.8307, -1.0276]], "species": ["V", "Br", "Au", "Br"], "fractional_positions": [[0.0000, 0.0000, 0.0000], [0.7500, 0.7500, 0.7500], [0.5000, 0.5000, 0.5000], [0.2500, 0.2500, 0.2500]], "dft_energy_ev_per_cell": -14.4, "formation_energy_uncorrected_kcal_per_mol_atoms": 7.67, "dos_ef_per_ev_atom": 1.044}

16.
{"formula": "BW", "functional": "PBE", "state": "optimized geometry", "lattice_angstrom": [[-2.6933, -1.0884, 1.6658], [-1.0811, -2.9622, -3.6833], [5.9374, -7.7818, 4.5154]], "species": ["W", "B", "B", "W", "B", "W", "W", "B", "B", "W", "W", "B"], "fractional_positions": [[0.0000, 0.6172, 0.5000], [0.0000, 0.7721, 0.6868], [0.5000, 0.2279, 0.1868], [0.0000, 0.9852, 0.8620], [0.5000, 0.2279, 0.8132], [0.5000, 0.0148, 0.3620], [0.5000, 0.0148, 0.6380], [0.5000, 0.3357, 0.5000], [0.0000, 0.6643, 0.0000], [0.0000, 0.9852, 0.1380], [0.5000, 0.3828, 0.0000], [0.0000, 0.7721, 0.3132]], "dft_energy_ev_per_cell": -109.5, "dos_ef_per_ev_atom": 0.471, "e_form_mev_per_atom": 688}

17.
{"formula": "RbMn2HgW", "functional": "PBE", "state": "optimized geometry", "lattice_angstrom": [[-4.6588, 1.4217, 1.9510], [-2.2731, -0.7966, -4.8475], [-0.9861, -4.9914, 1.2826]], "species": ["Mn", "Rb", "Hg", "W", "Mn"], "fractional_positions": [[0.0000, 0.0000, 0.5000], [0.5000, 0.5000, 0.5000], [0.0000, 0.0000, 0.0000], [0.0000, 0.5000, 0.0000], [0.5000, 0.0000, 0.0000]], "dft_energy_ev_per_cell": -23.8, "dos_ef_per_ev_atom": 1.195, "e_form_mev_per_atom": 1742}

18.
{"formula": "Mg2Ta2Ag", "functional": "PBE", "state": "optimized geometry", "lattice_angstrom": [[3.6756, 0.0000, 0.0000], [0.0000, 3.6756, 0.0000], [1.8378, 1.8378, 8.0829]], "species": ["Mg", "Ta", "Mg", "Ta", "Ag"], "fractional_positions": [[0.4065, 0.4065, 0.1870], [0.2500, 0.7500, 0.5000], [0.5935, 0.5935, 0.8130], [0.7500, 0.2500, 0.5000], [0.0000, 0.0000, 0.0000]], "dft_energy_ev_per_cell": -26.9, "dos_ef_per_ev_atom": 0.868, "e_form_mev_per_atom": 567}

19.
{"formula": "LaSc2Al", "functional": "PBE", "state": "optimized geometry", "lattice_angstrom": [[10.4304, -0.0119, -0.0070], [9.8873, 3.3217, -0.0070], [9.8873, 1.6107, 2.9051]], "species": ["La", "Al", "Sc", "Sc"], "fractional_positions": [[0.7500, 0.7500, 0.7500], [0.2500, 0.2500, 0.2500], [0.9879, 0.9879, 0.9879], [0.5121, 0.5121, 0.5121]], "dft_energy_ev_per_cell": -21.5, "dos_ef_per_ev_atom": 1.185, "e_form_mev_per_atom": -36}

20.
{"formula": "RbTl2TePt", "functional": "PBE", "state": "optimized geometry", "lattice_angstrom": [[5.3258, 0.0000, 0.0000], [0.0000, 5.3258, 0.0000], [0.0000, 0.0000, 6.2393]], "species": ["Pt", "Tl", "Rb", "Tl", "Te"], "fractional_positions": [[0.0000, 0.0000, 0.0000], [0.0000, 0.5000, 0.0000], [0.0000, 0.0000, 0.5000], [0.5000, 0.0000, 0.0000], [0.5000, 0.5000, 0.5000]], "dft_energy_ev_per_cell": -16.0, "formation_energy_uncorrected_kcal_per_mol_atoms": -5.28, "dos_ef_per_ev_atom": 1.108}

21.
{"formula": "NiPtRh2", "functional": "PBE", "state": "optimized geometry", "lattice_angstrom": [[4.6661, 0.0001, 0.0062], [1.5401, 4.4046, -0.0062], [-3.1060, -2.1983, 2.7005]], "species": ["Rh", "Ni", "Pt", "Rh"], "fractional_positions": [[0.0000, 0.0000, 0.0000], [0.5000, 0.5000, 0.0000], [0.7500, 0.2500, 0.5000], [0.2500, 0.7500, 0.5000]], "dft_energy_ev_per_cell": -26.6, "dos_ef_per_ev_atom": 1.471, "e_form_mev_per_atom": -28}

22.
{"formula": "AcPrAg2", "functional": "PBE", "state": "optimized geometry", "lattice_angstrom": [[3.8844, 0.0000, 0.0000], [0.0000, 3.8844, 0.0000], [0.0000, 0.0000, 7.6925]], "species": ["Ag", "Ac", "Pr", "Ag"], "fractional_positions": [[0.0000, 0.0000, 0.2293], [0.5000, 0.5000, 0.5000], [0.5000, 0.5000, 0.0000], [0.0000, 0.0000, 0.7707]], "dft_energy_ev_per_cell": -15.6, "dos_ef_per_ev_atom": 0.778, "e_form_mev_per_atom": -250}

23.
{"formula": "Mn5AuI12", "functional": "PBE", "state": "optimized geometry", "lattice_angstrom": [[7.3544, 0.0001, 0.1761], [3.6773, 6.1522, 0.0880], [0.3852, -0.0002, 15.2502]], "species": ["Mn", "I", "Au", "Mn", "I", "I", "I", "I", "I", "Mn", "I", "Mn", "I", "I", "I", "I", "I", "Mn"], "fractional_positions": [[0.6582, 0.6837, 0.0000], [0.6343, 0.0000, 0.8804], [0.0000, 0.0000, 0.0000], [0.3418, 0.3163, 0.0000], [0.8218, 0.6665, 0.6081], [0.1552, 0.0000, 0.6080], [0.9969, 0.3343, 0.8959], [0.3311, 0.6657, 0.8959], [0.3657, 0.0000, 0.1196], [0.8334, 0.3333, 0.5000], [0.4882, 0.3335, 0.6081], [0.1666, 0.6667, 0.5000], [0.6689, 0.3343, 0.1041], [0.1782, 0.3335, 0.3919], [0.5118, 0.6665, 0.3919], [0.8448, 0.0000, 0.3920], [0.0031, 0.6657, 0.1041], [0.5000, 0.0000, 0.5000]], "dft_energy_ev_per_cell": -73.9, "formation_energy_uncorrected_kcal_per_mol_atoms": -7.97, "dos_ef_per_ev_atom": 0.328}

24.
{"formula": "CeNbSi", "functional": "PBE", "state": "optimized geometry", "lattice_angstrom": [[3.9165, 0.0000, 0.0000], [0.0000, 4.4114, 0.0000], [0.0000, -2.2057, 3.8204]], "species": ["Nb", "Ce", "Si"], "fractional_positions": [[0.1666, 0.3333, 0.6667], [0.6666, 0.6667, 0.3333], [0.1668, 0.0000, 0.0000]], "dft_energy_ev_per_cell": -21.9, "formation_energy_uncorrected_kcal_per_mol_atoms": -4.00, "dos_ef_per_ev_atom": 1.437}

25.
{"formula": "Cd5Pd7", "functional": "PBE", "state": "optimized geometry", "lattice_angstrom": [[4.7351, 0.0000, 0.0000], [-2.3676, 3.6894, -1.0804], [0.0000, -3.2522, 12.7754]], "species": ["Cd", "Pd", "Pd", "Pd", "Cd", "Cd", "Pd", "Pd", "Pd", "Cd", "Pd", "Cd"], "fractional_positions": [[0.9142, 0.8284, 0.5840], [0.8376, 0.6751, 0.1678], [0.5000, 0.0000, 0.5000], [0.3271, 0.6542, 0.6666], [0.0000, 0.0000, 0.0000], [0.0858, 0.1716, 0.4160], [0.4168, 0.8336, 0.0811], [0.1624, 0.3249, 0.8322], [0.5832, 0.1664, 0.9189], [0.2580, 0.5159, 0.2493], [0.6729, 0.3458, 0.3334], [0.7420, 0.4841, 0.7507]], "dft_energy_ev_per_cell": -44.8, "dos_ef_per_ev_atom": 0.428, "e_form_mev_per_atom": -319}